This record from the Alexandria database describes crystalline NpAlGaPt3 at its relaxed geometry. The functional is GGA-PBE.

Summary:
DFT formation energy, eV/atom: -0.55
VASP energy, eV/atom: -6.853
Size of the total moment, μB/cell: 8.3

Unit cell a=5.608 b=5.624 c=8.484 alpha=109.36 beta=90.00 gamma=90.00
Site moments in Bohr magnetons follow the coordinates.
Fractional positions:
Pt 0.500 0.749 0.000  0.01
Pt 0.500 0.251 0.000  0.01
Pt 0.250 0.247 0.494  -0.09
Pt 0.000 0.251 0.000  0.01
Pt 0.000 0.749 0.000  0.01
Pt 0.750 0.753 0.506  -0.09
Np 0.750 0.295 0.591  3.93
Np 0.250 0.705 0.409  3.93
Ga 0.250 0.402 0.804  -0.01
Ga 0.750 0.598 0.196  -0.01
Al 0.750 0.907 0.814  0.00
Al 0.250 0.093 0.186  0.00